The following is a DFT calculation (GGA+U) of a relaxed structure of UNiIrO6.

a = 4.8054 Å, b = 4.8054 Å, c = 9.4485 Å
α = 90.00°, β = 90.00°, γ = 90.00°
Space group P4_2nm (No. 102)
Symmetry-distinct sites (fractional):
U  0.0000  0.0000  0.0000
Ni  0.0000  0.0000  0.6678
Ir  0.0000  0.0000  0.3311
O  0.1888  0.1888  0.4951
O  0.1978  0.1978  0.1702
O  0.2064  0.2064  0.8340

Its total energy is -7.646 eV per atom.